Record 1
This record from Alexandria via LeMat-Bulk describes a relaxed structure of Ti2CrW2. The functional is PBE-GGA.

Values from the calculation:
**M_tot**: 2.4 Bohr magnetons per cell
**Total energy**: -97.00 eV/cell
**ΔE to the lowest computed polymorph**: 0 meV/atom
**Energy of formation**: 564 meV per atom

Unit cell a=6.177 b=6.177 c=4.178 alpha=90.00 beta=90.00 gamma=90.00
Last column: magnetic moment on the atom in μB.
Element x y z (fractional)
Ti  0.846  0.654  0.000  -0.01
Ti  0.154  0.346  0.000  -0.01
Ti  0.346  0.846  0.000  0.01
Ti  0.654  0.154  0.000  0.01
W  0.338  0.162  0.500  -0.03
W  0.838  0.338  0.500  0.00
W  0.162  0.662  0.500  0.00
W  0.662  0.838  0.500  -0.03
Cr  0.000  0.000  0.000  1.13
Cr  0.500  0.500  0.000  1.13

=====

Record 2
This record from Alexandria via LeMat-Bulk describes a relaxed structure of SrCrRe2. The functional is PBE-GGA.

Values from the calculation:
**M_tot**: 0.5 Bohr magnetons per cell
**Total energy**: -31.08 eV/cell
**ΔE to the lowest computed polymorph**: 657 meV/atom
**Energy of formation**: 1280 meV per atom

Unit cell a=4.569 b=4.569 c=4.569 alpha=60.00 beta=60.00 gamma=60.00
Last column: magnetic moment on the atom in μB.
Element x y z (fractional)
Cr  0.000  0.000  0.000  1.34
Re  0.750  0.750  0.750  -0.41
Re  0.250  0.250  0.250  -0.41
Sr  0.500  0.500  0.500  -0.03

=====

Record 3
This record from Alexandria via LeMat-Bulk describes a relaxed structure of LiSi2Ag. The functional is PBE-GGA.

Values from the calculation:
**Raw formation energy**: 0.110 eV/atom
**M_tot**: 0.0 Bohr magnetons per cell
**Total energy**: -15.17 eV/cell
**ΔE to the lowest computed polymorph**: 61 meV/atom

Unit cell a=4.760 b=4.760 c=4.716 alpha=84.25 beta=84.25 gamma=35.42
Element x y z (fractional)
Si  0.997  0.997  0.017
Si  0.255  0.255  0.221
Li  0.751  0.751  0.741
Ag  0.498  0.498  0.522

=====

Record 4
This record from Alexandria via LeMat-Bulk describes a relaxed structure of TbHfTl2. The functional is PBE-GGA.

Values from the calculation:
**M_tot**: 0.0 Bohr magnetons per cell
**Total energy**: -19.45 eV/cell
**ΔE to the lowest computed polymorph**: 38 meV/atom
**Energy of formation**: -33 meV per atom

Unit cell a=4.336 b=4.789 c=4.789 alpha=90.00 beta=90.00 gamma=90.00
Element x y z (fractional)
Tb  0.500  0.500  0.500
Tl  0.000  0.000  0.500
Tl  0.000  0.500  0.000
Hf  0.500  0.000  0.000

=====

Record 5
This record from Alexandria via LeMat-Bulk describes a relaxed structure of RbH8Ir2. The functional is PBE-GGA.

Values from the calculation:
**M_tot**: 0.0 Bohr magnetons per cell
**Total energy**: -45.69 eV/cell

Unit cell a=6.121 b=4.665 c=4.665 alpha=108.19 beta=89.83 gamma=89.83
Element x y z (fractional)
H  0.412  0.062  0.702
H  0.791  0.534  0.534
H  0.772  0.701  0.065
H  0.772  0.065  0.701
H  0.592  0.283  0.015
H  0.388  0.532  0.532
H  0.592  0.015  0.283
H  0.412  0.702  0.062
Ir  0.590  0.642  0.290
Ir  0.590  0.290  0.642
Rb  0.091  0.140  0.140

=====

Record 6
This record from Alexandria via LeMat-Bulk describes a relaxed structure of Pm8Ho4Mg. The functional is PBE-GGA.

Values from the calculation:
**M_tot**: 0.0 Bohr magnetons per cell
**Total energy**: -51.59 eV/cell
**Energy of formation**: 486 meV per atom

Unit cell a=11.034 b=11.034 c=7.799 alpha=90.00 beta=135.02 gamma=120.00
Element x y z (fractional)
Pm  0.000  0.754  0.755
Pm  0.000  0.246  0.245
Pm  0.491  0.246  0.245
Pm  0.000  0.754  0.245
Pm  0.509  0.754  0.755
Pm  0.491  0.245  0.736
Pm  0.509  0.755  0.264
Pm  0.000  0.246  0.755
Mg  0.000  0.500  0.500
Ho  0.000  0.500  0.000
Ho  0.000  0.000  0.000
Ho  0.500  0.500  0.000
Ho  0.500  0.000  0.000

=====

Record 7
This record from Alexandria via LeMat-Bulk describes a relaxed structure of CdTcIr2. The functional is PBE-GGA.

Values from the calculation:
**M_tot**: 0.0 Bohr magnetons per cell
**Total energy**: -27.82 eV/cell
**Energy of formation**: 296 meV per atom

Unit cell a=4.938 b=4.938 c=4.938 alpha=133.38 beta=133.38 gamma=68.06
Element x y z (fractional)
Ir  0.000  0.000  0.000
Ir  0.250  0.750  0.500
Tc  0.500  0.500  0.000
Cd  0.750  0.250  0.500

=====

Record 8
This record from Alexandria via LeMat-Bulk describes a relaxed structure of Mn2ZnMo. The functional is PBE-GGA.

Values from the calculation:
**M_tot**: 3.2 Bohr magnetons per cell
**Total energy**: -30.05 eV/cell
**Energy of formation**: 98 meV per atom

Unit cell a=3.088 b=3.088 c=5.620 alpha=90.00 beta=90.00 gamma=90.00
Last column: magnetic moment on the atom in μB.
Element x y z (fractional)
Mo  0.500  0.500  0.250  -0.81
Mn  0.000  0.000  0.003  2.04
Mn  0.000  0.000  0.497  2.04
Zn  0.500  0.500  0.750  -0.06

=====

Record 9
This record from Alexandria via LeMat-Bulk describes a relaxed structure of SrTcGe2Mo. The functional is PBE-GGA.

Values from the calculation:
**M_tot**: 0.2 Bohr magnetons per cell
**Total energy**: -18.37 eV/cell
**Energy of formation**: 2748 meV per atom

Unit cell a=5.188 b=4.775 c=5.188 alpha=90.00 beta=90.00 gamma=90.00
Last column: magnetic moment on the atom in μB.
Element x y z (fractional)
Tc  0.500  0.500  0.500  -0.03
Mo  0.000  0.500  0.000  -0.17
Ge  0.500  0.000  0.000  0.01
Ge  0.000  0.000  0.500  0.01
Sr  0.000  0.000  0.000  0.01

=====

Record 10
This record from Alexandria via LeMat-Bulk describes a relaxed structure of BeZn2Hg. The functional is PBE-GGA.

Values from the calculation:
**M_tot**: 0.0 Bohr magnetons per cell
**Total energy**: -5.24 eV/cell
**ΔE to the lowest computed polymorph**: 118 meV/atom
**Energy of formation**: 333 meV per atom

Unit cell a=4.789 b=4.789 c=4.789 alpha=130.40 beta=130.40 gamma=72.77
Element x y z (fractional)
Zn  0.250  0.750  0.500
Zn  0.000  0.000  0.000
Be  0.500  0.500  0.000
Hg  0.750  0.250  0.500

=====

Record 11
This record from Alexandria via LeMat-Bulk describes a relaxed structure of TiBCl3. The functional is PBE-GGA.

Values from the calculation:
**Raw formation energy**: 0.018 eV/atom
**M_tot**: 0.5 Bohr magnetons per cell
**Total energy**: -20.02 eV/cell
**ΔE to the lowest computed polymorph**: 0 meV/atom

Unit cell a=4.824 b=4.824 c=4.824 alpha=90.00 beta=90.00 gamma=90.00
Last column: magnetic moment on the atom in μB.
Element x y z (fractional)
Cl  0.500  0.000  0.000  0.00
Cl  0.000  0.500  0.000  0.00
Cl  0.000  0.000  0.500  0.00
B  0.500  0.500  0.500  0.25
Ti  0.000  0.000  0.000  -0.03

=====

Record 12
This record from Alexandria via LeMat-Bulk describes a relaxed structure of Lu2NbN. The functional is PBE-GGA.

Values from the calculation:
**Raw formation energy**: -0.432 eV/atom
**M_tot**: 0.8 Bohr magnetons per cell
**Total energy**: -29.16 eV/cell

Unit cell a=3.225 b=3.225 c=8.785 alpha=79.42 beta=79.42 gamma=60.00
Last column: magnetic moment on the atom in μB.
Element x y z (fractional)
Nb  0.000  0.000  0.000  0.69
Lu  0.115  0.115  0.656  0.01
Lu  0.885  0.885  0.344  0.01
N  0.500  0.500  0.500  0.01

=====

Record 13
This record from Alexandria via LeMat-Bulk describes a relaxed structure of Ba2NaSr3. The functional is PBE-GGA.

Values from the calculation:
**M_tot**: 0.0 Bohr magnetons per cell
**Total energy**: -20.10 eV/cell
**ΔE to the lowest computed polymorph**: 9 meV/atom
**Energy of formation**: 26 meV per atom

Unit cell a=9.660 b=10.674 c=10.674 alpha=142.89 beta=90.00 gamma=90.00
Element x y z (fractional)
Ba  0.720  0.674  0.326
Ba  0.220  0.674  0.326
Ba  0.220  0.326  0.674
Ba  0.720  0.326  0.674
Na  0.219  0.000  0.000
Na  0.719  0.000  0.000
Sr  0.970  0.500  0.500
Sr  0.970  0.152  0.848
Sr  0.470  0.848  0.152
Sr  0.470  0.152  0.848
Sr  0.970  0.848  0.152
Sr  0.470  0.500  0.500

=====

Record 14
This record from Alexandria via LeMat-Bulk describes a relaxed structure of MnCu2Pt. The functional is PBE-GGA.

Values from the calculation:
**M_tot**: 3.9 Bohr magnetons per cell
**Total energy**: -23.55 eV/cell
**Energy of formation**: -37 meV per atom

Unit cell a=5.152 b=4.564 c=2.719 alpha=87.04 beta=76.06 gamma=115.42
Last column: magnetic moment on the atom in μB.
Element x y z (fractional)
Cu  0.000  0.500  0.500  0.06
Cu  0.000  0.000  0.000  0.06
Mn  0.500  0.500  0.000  3.56
Pt  0.500  0.000  0.500  0.12

=====

Record 15
This record from Alexandria via LeMat-Bulk describes a relaxed structure of LaCd2Ni. The functional is PBE-GGA.

Values from the calculation:
**M_tot**: 0.0 Bohr magnetons per cell
**Total energy**: -11.89 eV/cell
**Energy of formation**: 161 meV per atom

Unit cell a=5.987 b=5.987 c=3.143 alpha=90.00 beta=90.00 gamma=124.31
Element x y z (fractional)
Cd  0.000  0.000  0.000
Cd  0.500  0.500  0.000
La  0.500  0.000  0.500
Ni  0.000  0.500  0.500

=====

Record 16
This record from Alexandria via LeMat-Bulk describes a relaxed structure of PdRhNF2. The functional is PBE-GGA.

Values from the calculation:
**Raw formation energy**: 0.444 eV/atom
**M_tot**: 2.0 Bohr magnetons per cell
**Total energy**: -22.39 eV/cell
**ΔE to the lowest computed polymorph**: 437 meV/atom

Unit cell a=4.388 b=4.388 c=3.717 alpha=90.00 beta=90.00 gamma=90.00
Last column: magnetic moment on the atom in μB.
Element x y z (fractional)
Pd  0.000  0.000  0.000  -0.03
Rh  0.500  0.500  0.500  1.79
F  0.000  0.500  0.000  0.04
F  0.500  0.000  0.000  0.04
N  0.000  0.000  0.500  0.03

=====

Record 17
This record from Alexandria via LeMat-Bulk describes a relaxed structure of SrTe2Rh. The functional is PBE-GGA.

Values from the calculation:
**Raw formation energy**: -0.738 eV/atom
**M_tot**: 0.0 Bohr magnetons per cell
**Total energy**: -18.27 eV/cell
**ΔE to the lowest computed polymorph**: 46 meV/atom

Unit cell a=4.326 b=4.326 c=7.260 alpha=72.67 beta=72.67 gamma=60.01
Element x y z (fractional)
Sr  0.750  0.750  0.750
Te  0.523  0.523  0.432
Te  0.977  0.977  0.068
Rh  0.250  0.250  0.250

=====

Record 18
This record from Alexandria via LeMat-Bulk describes a relaxed structure of Rb3Cu2AgBr9. The functional is PBE-GGA.

Values from the calculation:
**Raw formation energy**: -0.863 eV/atom
**M_tot**: 0.0 Bohr magnetons per cell
**Total energy**: -41.95 eV/cell

Unit cell a=7.468 b=7.468 c=9.168 alpha=90.00 beta=90.00 gamma=120.00
Element x y z (fractional)
Br  0.500  0.500  0.000
Br  0.344  0.172  0.675
Br  0.000  0.500  0.000
Br  0.172  0.344  0.325
Br  0.172  0.828  0.325
Br  0.828  0.656  0.675
Br  0.828  0.172  0.675
Br  0.500  0.000  0.000
Br  0.656  0.828  0.325
Ag  0.000  0.000  0.500
Cu  0.333  0.667  0.161
Cu  0.667  0.333  0.839
Rb  0.333  0.667  0.666
Rb  0.000  0.000  0.000
Rb  0.667  0.333  0.334

=====

Record 19
This record from Alexandria via LeMat-Bulk describes a relaxed structure of LaYGe. The functional is PBE-GGA.

Values from the calculation:
**M_tot**: 0.0 Bohr magnetons per cell
**Total energy**: -17.67 eV/cell
**ΔE to the lowest computed polymorph**: 107 meV/atom
**Energy of formation**: -553 meV per atom

Unit cell a=5.042 b=5.042 c=5.042 alpha=60.00 beta=60.00 gamma=60.00
Element x y z (fractional)
La  0.500  0.500  0.500
Ge  0.250  0.250  0.250
Y  0.000  0.000  0.000

=====

Record 20
This record from Alexandria via LeMat-Bulk describes a relaxed structure of Mn2AlSn. The functional is PBE-GGA.

Values from the calculation:
**M_tot**: 10.8 Bohr magnetons per cell
**Total energy**: -49.10 eV/cell
**Energy of formation**: 383 meV per atom

Unit cell a=7.028 b=7.028 c=5.694 alpha=51.89 beta=51.89 gamma=90.00
Last column: magnetic moment on the atom in μB.
Element x y z (fractional)
Mn  0.375  0.391  0.750  2.81
Mn  0.609  0.125  0.250  2.81
Mn  0.141  0.625  0.250  2.81
Mn  0.875  0.859  0.750  2.81
Al  0.250  0.750  0.500  -0.09
Al  0.500  0.500  0.000  -0.09
Sn  0.000  0.000  0.000  -0.14
Sn  0.750  0.250  0.500  -0.14